Record 1
First-principles (PBE-GGA) data for a relaxed structure of Ac3InSi2Rh9, as listed in the Alexandria database.

```
Ac3InSi2Rh9
1.0
-3.839 -1.121 -4.709
1.088 -4.388 4.210
-7.361 3.202 5.239
In Rh Ac Si
1 9 3 2
direct
0.000 0.000 0.500
0.850 0.701 0.727
0.150 0.850 0.273
0.500 0.500 0.000
0.500 0.000 0.000
0.299 0.150 0.727
0.701 0.850 0.273
0.850 0.150 0.727
0.150 0.299 0.273
0.000 0.500 0.000
0.333 0.667 0.686
0.000 0.000 0.000
0.667 0.333 0.314
0.333 0.667 0.157
0.667 0.333 0.843
```

Output
Formation energy without anion corrections: -0.518 eV/atom
Magnetic moment: 0.0 μB/cell
Symmetry: P-3m1
Raw total energy: -6.656 eV/atom
Calculated volume: 316.86 Å³/f.u.

---

Record 2
First-principles (PBE-GGA) data for a relaxed structure of AlFe3N, as listed in the Alexandria database.

```
AlFe3N
1.0
-0.917 3.330 -1.368
-2.878 0.171 2.344
2.164 1.638 2.537
Fe Al N
3 1 1
direct
0.500 0.000 0.500
0.500 0.500 0.000
0.000 0.500 0.500
0.000 0.000 0.000
0.500 0.500 0.500
```

Output
Formation energy without anion corrections: -0.252 eV/atom
Magnetic moment: 0.0 μB/cell
Symmetry: Pm-3m
Raw total energy: -7.743 eV/atom
Calculated volume: 51.28 Å³/f.u.

---

Record 3
First-principles (PBE-GGA) data for a relaxed structure of ScAgPt2, as listed in the Alexandria database.

```
ScAgPt2
1.0
3.425 0.000 0.000
0.000 3.425 0.000
0.000 0.000 5.856
Sc Pt Ag
1 2 1
direct
0.500 0.500 0.250
0.000 0.000 0.495
0.000 0.000 0.005
0.500 0.500 0.750
```

Output
Magnetic moment: 0.0 μB/cell
Symmetry: P4/mmm
Raw total energy: -6.065 eV/atom
Energy relative to the elements: -749 meV/atom
Calculated volume: 68.68 Å³/f.u.

---

Record 4
First-principles (PBE-GGA) data for a relaxed structure of CsNa2SrTl, as listed in the Alexandria database.

```
CsNa2SrTl
1.0
-4.535 3.469 -3.814
-4.778 0.698 6.316
3.091 5.895 1.687
Na Tl Sr Cs
2 1 1 1
direct
0.000 0.000 0.500
0.500 0.000 0.000
0.500 0.500 0.500
0.000 0.000 0.000
0.000 0.500 0.000
```

Output
Magnetic moment: 0.0 μB/cell
Symmetry: P4/mmm
Raw total energy: -0.926 eV/atom
Relative energy among the computed polymorphs: 579 meV/atom
Energy relative to the elements: 582 meV/atom
Calculated volume: 374.80 Å³/f.u.

---

Record 5
First-principles (PBE-GGA) data for a relaxed structure of LaAgSCl2, as listed in the Alexandria database.

```
LaAgSCl2
1.0
4.956 0.000 0.000
0.000 4.956 0.000
0.000 0.000 5.136
Cl La S Ag
2 1 1 1
direct
0.500 0.000 0.000
0.000 0.500 0.000
0.500 0.500 0.500
0.000 0.000 0.500
0.000 0.000 0.000
```

Output
Formation energy without anion corrections: -0.906 eV/atom
Magnetic moment: 0.3 μB/cell
Symmetry: P4/mmm
Raw total energy: -4.026 eV/atom
Relative energy among the computed polymorphs: 234 meV/atom
Calculated volume: 126.16 Å³/f.u.

---

Record 6
First-principles (PBE-GGA) data for a relaxed structure of P2AuCl, as listed in the Alexandria database.

```
P2AuCl
1.0
-0.242 5.910 2.437
-3.990 4.603 1.954
-1.841 3.394 5.101
P Au Cl
2 1 1
direct
0.970 0.970 0.970
0.530 0.530 0.530
0.250 0.250 0.250
0.750 0.750 0.750
```

Output
Formation energy without anion corrections: 0.238 eV/atom
Magnetic moment: 0.0 μB/cell
Symmetry: R-3m
Raw total energy: -3.748 eV/atom
Relative energy among the computed polymorphs: 243 meV/atom
Calculated volume: 82.59 Å³/f.u.

---

Record 7
First-principles (PBE-GGA) data for a relaxed structure of Li12AgPt2, as listed in the Alexandria database.

```
Li12AgPt2
1.0
4.949 1.103 0.000
1.103 4.949 0.000
0.000 0.000 22.343
Li Pt Ag
24 4 2
direct
0.500 0.500 0.203
0.763 0.737 0.359
0.737 0.763 0.641
0.000 0.000 0.203
0.237 0.263 0.359
0.683 0.183 0.940
0.237 0.263 0.852
0.000 0.000 0.695
0.817 0.317 0.060
0.000 0.000 0.797
0.763 0.737 0.852
0.263 0.237 0.148
0.263 0.237 0.641
0.500 0.500 0.695
0.000 0.000 0.305
0.500 0.500 0.797
0.810 0.310 0.558
0.737 0.763 0.148
0.317 0.817 0.940
0.183 0.683 0.060
0.310 0.810 0.442
0.690 0.190 0.442
0.500 0.500 0.305
0.190 0.690 0.558
0.500 0.000 0.254
0.000 0.500 0.253
0.000 0.500 0.746
0.500 0.000 0.747
0.500 0.000 0.039
0.000 0.500 0.961
```

Output
Magnetic moment: 0.0 μB/cell
Symmetry: Cmme
Raw total energy: -2.712 eV/atom
Energy relative to the elements: -185 meV/atom
Calculated volume: 259.99 Å³/f.u.

---

Record 8
First-principles (PBE-GGA) data for a relaxed structure of LiSe2I, as listed in the Alexandria database.

```
LiSe2I
1.0
5.582 0.000 0.000
0.000 5.582 0.000
2.791 2.791 7.740
I Li Se
2 2 4
direct
0.000 0.000 0.000
0.750 0.250 0.500
0.250 0.750 0.500
0.500 0.500 0.000
0.592 0.125 0.250
0.158 0.625 0.250
0.375 0.408 0.750
0.875 0.842 0.750
```

Output
Formation energy without anion corrections: 0.012 eV/atom
Magnetic moment: 0.0 μB/cell
Symmetry: I-42d
Raw total energy: -2.596 eV/atom
Relative energy among the computed polymorphs: 205 meV/atom
Calculated volume: 120.57 Å³/f.u.